No. 1
LaTb2YSc: optimized geometry, GGA-PBE.

```
LaTb2YSc
1.0
5.046 0.000 0.000
0.000 7.676 1.787
0.000 -1.690 7.734
La Tb Y Sc
2 4 2 2
direct
0.250 0.743 0.262 La
0.750 0.257 0.738 La
0.750 0.840 0.554 Tb
0.750 0.647 0.954 Tb
0.250 0.160 0.446 Tb
0.250 0.353 0.046 Tb
0.250 0.944 0.847 Y
0.750 0.056 0.153 Y
0.250 0.550 0.652 Sc
0.750 0.450 0.348 Sc
```

Calculated values
- M_tot (μB per cell) = 0.0
- E_tot (eV/atom) = -5.343
- SG = P2_1/m, No. 11
- theoretical density (Mg/m³) = 6.231

No. 2
LaTb6Y3Sc2: optimized geometry, GGA-PBE.

```
LaTb6Y3Sc2
1.0
6.113 0.001 0.009
-3.055 5.296 0.009
-1.031 -1.786 11.527
La Tb Y Sc
1 6 3 2
direct
0.000 0.000 0.000 La
0.917 0.580 0.753 Tb
0.746 0.746 0.247 Tb
0.083 0.420 0.247 Tb
0.580 0.917 0.753 Tb
0.254 0.254 0.753 Tb
0.420 0.083 0.247 Tb
0.167 0.833 0.500 Y
0.833 0.167 0.500 Y
0.500 0.500 0.500 Y
0.333 0.667 0.000 Sc
0.667 0.333 0.000 Sc
```

Calculated values
- M_tot (μB per cell) = 0.0
- E_tot (eV/atom) = -5.354
- SG = C2/m, No. 12
- theoretical density (Mg/m³) = 6.444

No. 3
LaTbYSc: optimized geometry, GGA-PBE.

```
LaTbYSc
1.0
3.615 0.000 0.000
0.000 5.679 0.000
0.000 0.000 6.137
La Tb Y Sc
1 1 1 1
direct
0.000 0.000 0.229 La
0.500 0.500 0.390 Tb
0.000 0.500 0.879 Y
0.500 0.000 0.718 Sc
```

Calculated values
- M_tot (μB per cell) = 0.0
- SG = Pmm2, No. 25
- excess energy over the best structure of this formula in the dataset (eV/atom) = 0.000
- theoretical density (Mg/m³) = 5.690

No. 4
La6TbY2Sc: optimized geometry, GGA-PBE.

```
La6TbY2Sc
1.0
8.824 0.000 0.763
0.000 6.968 0.000
-2.356 -3.484 5.515
La Tb Y Sc
6 1 2 1
direct
0.400 0.656 0.313 La
0.201 0.107 0.704 La
0.799 0.403 0.296 La
0.201 0.597 0.704 La
0.799 0.893 0.296 La
0.600 0.344 0.687 La
0.500 0.000 0.000 Tb
0.175 0.102 0.204 Y
0.825 0.898 0.796 Y
0.000 0.500 0.000 Sc
```

Calculated values
- M_tot (μB per cell) = 0.0
- E_tot (eV/atom) = -5.132
- SG = C2/m, No. 12
- theoretical density (Mg/m³) = 5.739

No. 5
LaTbY3Sc: optimized geometry, GGA-PBE.

```
LaTbY3Sc
1.0
5.002 0.000 0.000
-2.501 7.536 0.000
0.000 0.000 10.092
La Tb Y Sc
2 2 6 2
direct
0.496 0.993 0.750 La
0.504 0.007 0.250 La
0.000 0.000 0.500 Tb
0.000 0.000 0.000 Tb
0.668 0.336 0.500 Y
0.332 0.664 0.500 Y
0.332 0.664 0.000 Y
0.668 0.336 0.000 Y
0.171 0.342 0.750 Y
0.829 0.658 0.250 Y
0.831 0.662 0.750 Sc
0.169 0.338 0.250 Sc
```

Calculated values
- M_tot (μB per cell) = 0.0
- E_tot (eV/atom) = -5.829
- SG = Cmcm, No. 63
- theoretical density (Mg/m³) = 5.321

No. 6
La2Tb3Y6Sc: optimized geometry, GGA-PBE.

```
La2Tb3Y6Sc
1.0
6.186 -0.002 0.004
-3.094 5.357 0.004
-1.038 -1.797 11.657
La Tb Y Sc
2 3 6 1
direct
0.334 0.666 0.000 La
0.666 0.334 0.000 La
0.166 0.834 0.500 Tb
0.834 0.166 0.500 Tb
0.500 0.500 0.500 Tb
0.917 0.587 0.749 Y
0.754 0.754 0.252 Y
0.083 0.413 0.251 Y
0.587 0.917 0.749 Y
0.246 0.246 0.748 Y
0.413 0.083 0.251 Y
0.000 0.000 0.000 Sc
```

Calculated values
- M_tot (μB per cell) = 0.0
- E_tot (eV/atom) = -5.709
- SG = C2/m, No. 12
- theoretical density (Mg/m³) = 5.729

No. 7
LaTbY2Sc4: optimized geometry, GGA-PBE.

```
LaTbY2Sc4
1.0
5.003 0.000 0.000
0.000 4.884 1.083
0.000 2.901 10.042
La Tb Y Sc
1 1 2 4
direct
0.500 0.500 0.000 La
0.000 0.500 0.500 Tb
0.000 0.000 0.000 Y
0.500 0.000 0.500 Y
0.000 0.753 0.747 Sc
0.000 0.247 0.253 Sc
0.500 0.746 0.254 Sc
0.500 0.254 0.746 Sc
```

Calculated values
- M_tot (μB per cell) = 0.0
- E_tot (eV/atom) = -5.913
- SG = P4/mmm, No. 123
- theoretical density (Mg/m³) = 4.739

No. 8
La6Tb2YSc: optimized geometry, GGA-PBE.

```
La6Tb2YSc
1.0
-6.815 0.152 -5.624
3.922 -3.353 -4.844
-2.614 -3.281 5.325
La Tb Y Sc
6 2 1 1
direct
0.399 0.630 0.261 La
0.204 0.084 0.678 La
0.796 0.406 0.322 La
0.204 0.594 0.678 La
0.796 0.916 0.322 La
0.601 0.370 0.739 La
0.165 0.096 0.192 Tb
0.835 0.904 0.808 Tb
0.500 0.000 0.000 Y
0.000 0.500 0.000 Sc
```

Calculated values
- M_tot (μB per cell) = 0.0
- E_tot (eV/atom) = -4.946
- SG = C2/m, No. 12
- theoretical density (Mg/m³) = 6.090

No. 9
La2Tb6Y3Sc: optimized geometry, GGA-PBE.

```
La2Tb6Y3Sc
1.0
6.181 -0.001 0.004
-3.090 5.353 0.004
-1.037 -1.796 11.671
La Tb Y Sc
2 6 3 1
direct
0.334 0.666 0.000 La
0.666 0.334 0.000 La
0.917 0.587 0.749 Tb
0.754 0.754 0.252 Tb
0.083 0.413 0.251 Tb
0.587 0.917 0.749 Tb
0.246 0.246 0.748 Tb
0.413 0.083 0.251 Tb
0.166 0.834 0.500 Y
0.834 0.166 0.500 Y
0.500 0.500 0.500 Y
0.000 0.000 0.000 Sc
```

Calculated values
- M_tot (μB per cell) = 0.0
- E_tot (eV/atom) = -5.249
- SG = C2/m, No. 12
- theoretical density (Mg/m³) = 6.634

No. 10
La4Tb2YSc: optimized geometry, GGA-PBE.

```
La4Tb2YSc
1.0
5.894 0.000 0.000
0.000 5.708 1.488
0.000 3.735 9.050
La Tb Y Sc
4 2 1 1
direct
0.000 0.762 0.740 La
0.000 0.238 0.260 La
0.500 0.739 0.262 La
0.500 0.261 0.738 La
0.000 0.000 0.000 Tb
0.500 0.000 0.500 Tb
0.500 0.500 0.000 Y
0.000 0.500 0.500 Sc
```

Calculated values
- M_tot (μB per cell) = 0.0
- E_tot (eV/atom) = -5.195
- SG = P2/m, No. 10
- theoretical density (Mg/m³) = 6.157

No. 11
LaTb2Y6Sc3: optimized geometry, GGA-PBE.

```
LaTb2Y6Sc3
1.0
6.102 -0.001 0.027
-3.050 5.285 0.027
-1.067 -1.848 11.370
La Tb Y Sc
1 2 6 3
direct
0.000 0.000 0.000 La
0.333 0.667 0.000 Tb
0.667 0.333 0.000 Tb
0.913 0.578 0.739 Y
0.753 0.753 0.262 Y
0.087 0.422 0.261 Y
0.578 0.913 0.739 Y
0.247 0.247 0.738 Y
0.422 0.087 0.261 Y
0.167 0.833 0.500 Sc
0.833 0.167 0.500 Sc
0.500 0.500 0.500 Sc
```

Calculated values
- M_tot (μB per cell) = 0.0
- E_tot (eV/atom) = -5.943
- SG = C2/m, No. 12
- theoretical density (Mg/m³) = 5.088

No. 12
LaTb3Y6Sc2: optimized geometry, GGA-PBE.

```
LaTb3Y6Sc2
1.0
-1.071 -0.819 -5.964
4.988 -2.431 2.569
-7.220 -8.555 3.511
La Tb Y Sc
1 3 6 2
direct
0.000 0.000 0.000 La
0.167 0.833 0.500 Tb
0.833 0.167 0.500 Tb
0.500 0.500 0.500 Tb
0.917 0.580 0.753 Y
0.746 0.746 0.248 Y
0.083 0.420 0.247 Y
0.580 0.917 0.753 Y
0.254 0.254 0.752 Y
0.420 0.083 0.247 Y
0.333 0.667 0.000 Sc
0.667 0.333 0.000 Sc
```

Calculated values
- M_tot (μB per cell) = 0.0
- E_tot (eV/atom) = -5.811
- SG = C2/m, No. 12
- theoretical density (Mg/m³) = 5.496

No. 13
LaTbScZn: optimized geometry, GGA-PBE.

```
LaTbScZn
1.0
-3.297 -0.383 1.166
-0.770 -1.957 -2.820
2.336 -7.089 4.280
La Tb Sc Zn
1 1 1 1
direct
0.000 0.000 0.088 La
0.500 0.500 0.770 Tb
0.500 0.500 0.377 Sc
0.000 0.000 0.549 Zn
```

Calculated values
- M_tot (μB per cell) = 0.0
- SG = P4mm, No. 99
- excess energy over the best structure of this formula in the dataset (eV/atom) = 0.000
- theoretical density (Mg/m³) = 6.365

No. 14
LaTbScZn: optimized geometry, GGA-PBE.

```
LaTbScZn
1.0
-4.071 -1.795 2.939
0.280 -4.808 2.289
0.508 -0.407 5.292
Sc Zn Tb La
1 1 1 1
direct
0.500 0.500 0.500 Sc
0.000 0.000 0.000 Zn
0.750 0.750 0.750 Tb
0.250 0.250 0.250 La
```

Calculated values
- M_tot (μB per cell) = 0.0
- SG = F-43m, No. 216
- excess energy over the best structure of this formula in the dataset (eV/atom) = 0.126
- theoretical density (Mg/m³) = 6.323

No. 15
LaTbZrSc: optimized geometry, GGA-PBE.

```
LaTbZrSc
1.0
-4.301 1.511 -2.933
-4.799 0.741 2.410
-2.022 5.001 0.533
Sc Tb Zr La
1 1 1 1
direct
0.000 0.000 0.000 Sc
0.250 0.250 0.250 Tb
0.500 0.500 0.500 Zr
0.750 0.750 0.750 La
```

Calculated values
- M_tot (μB per cell) = 0.2
- SG = F-43m, No. 216
- excess energy over the best structure of this formula in the dataset (eV/atom) = 0.000
- theoretical density (Mg/m³) = 6.398

No. 16
LaTbZrSc: optimized geometry, GGA-PBE.

```
LaTbZrSc
1.0
-3.146 3.664 2.484
-5.340 -0.873 0.461
-2.159 -1.121 4.855
Sc Tb Zr La
1 1 1 1
direct
0.000 0.000 0.000 Sc
0.500 0.500 0.500 Tb
0.250 0.250 0.250 Zr
0.750 0.750 0.750 La
```

Calculated values
- M_tot (μB per cell) = 0.0
- SG = F-43m, No. 216
- excess energy over the best structure of this formula in the dataset (eV/atom) = 0.013
- theoretical density (Mg/m³) = 6.364

No. 17
LaScTc2: optimized geometry, GGA-PBE.

```
LaScTc2
1.0
4.756 0.000 0.000
2.378 4.119 0.000
2.378 1.373 3.883
La Sc Tc
1 1 2
direct
0.500 0.500 0.500 La
0.750 0.750 0.750 Sc
0.000 0.000 0.000 Tc
0.250 0.250 0.250 Tc
```

Calculated values
- M_tot (μB per cell) = 0.0
- SG = F-43m, No. 216
- excess energy over the best structure of this formula in the dataset (eV/atom) = 0.251
- theoretical density (Mg/m³) = 8.292

No. 18
LaSc2Tc: optimized geometry, GGA-PBE.

```
LaSc2Tc
1.0
5.013 0.040 0.000
-1.321 4.836 0.000
0.000 0.000 3.602
La Sc Tc
1 2 1
direct
0.000 0.500 0.500 La
0.000 0.000 0.000 Sc
0.500 0.500 0.000 Sc
0.500 0.000 0.500 Tc
```

Calculated values
- M_tot (μB per cell) = 0.0
- SG = Cmmm, No. 65
- excess energy over the best structure of this formula in the dataset (eV/atom) = 0.315
- theoretical density (Mg/m³) = 6.203

No. 19
LaScTc: optimized geometry, GGA-PBE.

```
LaScTc
1.0
-4.332 1.453 -1.129
0.583 -3.960 2.475
-0.157 1.809 2.932
La Sc Tc
1 1 1
direct
0.000 0.000 0.920 La
0.667 0.333 0.389 Sc
0.333 0.667 0.691 Tc
```

Calculated values
- M_tot (μB per cell) = 0.0
- SG = P3m1, No. 156
- excess energy over the best structure of this formula in the dataset (eV/atom) = 0.156
- theoretical density (Mg/m³) = 7.076

No. 20
LaScTc2: optimized geometry, GGA-PBE.

```
LaScTc2
1.0
3.202 0.000 0.000
0.000 4.136 0.000
0.000 0.000 6.277
La Sc Tc
1 1 2
direct
0.000 0.000 0.451 La
0.500 0.500 0.819 Sc
0.000 0.000 0.033 Tc
0.500 0.500 0.198 Tc
```

Calculated values
- M_tot (μB per cell) = 0.0
- SG = Pmm2, No. 25
- excess energy over the best structure of this formula in the dataset (eV/atom) = 0.237
- theoretical density (Mg/m³) = 7.588